Entry 1:
VASP calculation (meta-GGA SCAN) on a crystal of NaAs2BrCl relaxed with PBEsol.

a b c (Å): 4.6925 4.6925 7.0084
angles (deg): 90.00 90.00 90.00
With the nearest neighbours (Å) after each atom.
Positions (direct):
Na: 0.0000 0.0000 0.0000  4 Br 3.32
As: 0.0000 0.5000 0.5000  2 Cl 2.35
As: 0.5000 0.0000 0.5000  2 Cl 2.35
Br: 0.5000 0.5000 0.0000  4 Na 3.32, 2 Cl 3.50
Cl: 0.5000 0.5000 0.5000  4 As 2.35

- Space-group type: P4/mmm, No. 123
- Density of states at the Fermi level: 3.66 states/eV per cell



Entry 2:
VASP calculation (meta-GGA SCAN) on a crystal of Cr2FeAg relaxed with PBEsol.

a b c (Å): 2.8226 2.8226 6.4053
angles (deg): 90.00 90.00 90.00
With the nearest neighbours (Å) after each atom.
Positions (direct):
Cr: 0.0000 0.0000 0.0000  4 Cr 2.41, 1 Fe 2.66
Cr: 0.5000 0.5000 0.2096  4 Fe 2.39, 4 Cr 2.41
Fe: 0.0000 0.0000 0.4149  5 Cr 2.39-2.66
Ag: 0.5000 0.5000 0.6996  4 Fe 2.70, 4 Cr 2.77, 4 Ag 2.82

- Energy relative to the elements: 0.293 eV/atom
- Space-group type: P4mm, No. 99
- E above lowest polymorph: 0.0000 eV per atom
- Density of states at the Fermi level: 2.88 states/eV per cell



Entry 3:
VASP calculation (meta-GGA SCAN) on a crystal of BaCd3 relaxed with PBEsol.

a b c (Å): 6.3148 6.3148 6.3148
angles (deg): 116.83 116.83 116.83
With the nearest neighbours (Å) after each atom.
Positions (direct):
Ba: 0.0000 0.0000 0.0000  6 Cd 3.31, 2 Ba 3.41
Cd: 0.0000 0.5000 0.5000  6 Cd 3.31-3.41, 2 Ba 3.31
Cd: 0.5000 0.0000 0.5000  2 Ba 3.31, 6 Cd 3.31-3.41
Cd: 0.5000 0.5000 0.0000  6 Cd 3.31-3.41, 2 Ba 3.31

- Energy relative to the elements: 0.023 eV/atom
- Space-group type: R-3m, No. 166
- Density of states at the Fermi level: 2.32 states/eV per cell



Entry 4:
VASP calculation (meta-GGA SCAN) on a crystal of Dy2Al6Si4Au relaxed with PBEsol.

a b c (Å): 16.7350 16.7350 16.7350
angles (deg): 14.32 14.32 14.32
With the nearest neighbours (Å) after each atom.
Positions (direct):
Dy: 0.0655 0.0655 0.0655  6 Si 2.92-2.93
Dy: 0.9345 0.9345 0.9345  6 Si 2.92-2.93
Al: 0.1832 0.1832 0.1832  3 Au 2.55, 1 Si 2.56
Al: 0.3144 0.3144 0.3144  4 Si 2.49-2.52
Al: 0.4476 0.4476 0.4476  3 Si 2.53, 1 Au 2.60
Al: 0.5524 0.5524 0.5524  3 Si 2.53, 1 Au 2.60
Al: 0.6856 0.6856 0.6856  4 Si 2.49-2.52
Al: 0.8168 0.8168 0.8168  3 Au 2.55, 1 Si 2.56
Si: 0.2347 0.2347 0.2347  4 Al 2.53-2.56
Si: 0.3652 0.3652 0.3652  4 Al 2.49-2.52
Si: 0.6348 0.6348 0.6348  4 Al 2.49-2.52
Si: 0.7653 0.7653 0.7653  4 Al 2.53-2.56
Au: 0.5000 0.5000 0.5000  8 Al 2.55-2.60

- Space-group type: R-3m, No. 166
- Density of states at the Fermi level: 2.71 states/eV per cell



Entry 5:
VASP calculation (meta-GGA SCAN) on a crystal of YCdAg2 relaxed with PBEsol.

a b c (Å): 3.4959 3.4959 6.7017
angles (deg): 90.00 90.00 90.00
With the nearest neighbours (Å) after each atom.
Positions (direct):
Y: 0.0000 0.0000 0.0000  8 Ag 3.06, 2 Cd 3.35
Cd: 0.0000 0.0000 0.5000  8 Ag 2.91
Ag: 0.5000 0.5000 0.2701  4 Cd 2.91, 4 Y 3.06, 1 Ag 3.08
Ag: 0.5000 0.5000 0.7299  4 Cd 2.91, 4 Y 3.06, 1 Ag 3.08

- Energy relative to the elements: -0.255 eV/atom
- Space-group type: P4/mmm, No. 123
- Density of states at the Fermi level: 1.74 states/eV per cell



Entry 6:
VASP calculation (meta-GGA SCAN) on a crystal of ScInW2 relaxed with PBEsol.

a b c (Å): 5.4155 5.4155 5.4155
angles (deg): 142.76 132.19 62.12
With the nearest neighbours (Å) after each atom.
Positions (direct):
Sc: 0.0000 0.0000 0.0000  4 In 2.79, 4 W 2.88
In: 0.5000 0.5000 0.0000  4 Sc 2.79, 4 W 2.90
W: 0.2487 0.7487 0.5000  4 W 2.79, 2 Sc 2.88, 2 In 2.90
W: 0.7513 0.2513 0.5000  4 W 2.79, 2 Sc 2.88, 2 In 2.90

- Energy relative to the elements: 0.291 eV/atom
- Space-group type: Immm, No. 71
- Density of states at the Fermi level: 2.16 states/eV per cell



Entry 7:
VASP calculation (meta-GGA SCAN) on a crystal of Li2CaIr2 relaxed with PBEsol.

a b c (Å): 7.5085 7.5085 2.7307
angles (deg): 90.00 90.00 90.00
With the nearest neighbours (Å) after each atom.
Positions (direct):
Li: 0.1703 0.3297 0.0000  6 Ir 2.60-2.61, 2 Li 2.73
Li: 0.3297 0.8297 0.0000  6 Ir 2.60-2.61, 2 Li 2.73
Li: 0.6703 0.1703 0.0000  6 Ir 2.60-2.61, 2 Li 2.73
Li: 0.8297 0.6703 0.0000  6 Ir 2.60-2.61, 2 Li 2.73
Ca: 0.0000 0.0000 0.5000  2 Ca 2.73, 4 Ir 2.99
Ca: 0.5000 0.5000 0.5000  2 Ca 2.73, 4 Ir 2.99
Ir: 0.1197 0.6197 0.5000  3 Ir 2.54-2.73, 6 Li 2.60-2.61
Ir: 0.3803 0.1197 0.5000  3 Ir 2.54-2.73, 6 Li 2.60-2.61
Ir: 0.6197 0.8803 0.5000  3 Ir 2.54-2.73, 6 Li 2.60-2.61
Ir: 0.8803 0.3803 0.5000  3 Ir 2.54-2.73, 6 Li 2.60-2.61

- Energy relative to the elements: -0.005 eV/atom
- Space-group type: P4/mbm, No. 127
- Density of states at the Fermi level: 8.31 states/eV per cell



Entry 8:
VASP calculation (meta-GGA SCAN) on a crystal of TlPtN2O relaxed with PBEsol.

a b c (Å): 3.8136 3.8136 4.4367
angles (deg): 90.00 90.00 90.00
With the nearest neighbours (Å) after each atom.
Positions (direct):
Tl: 0.0000 0.0000 0.0000  4 O 2.70, 8 N 2.93
Pt: 0.5000 0.5000 0.5000  4 N 1.91
N: 0.0000 0.5000 0.5000  2 Pt 1.91
N: 0.5000 0.0000 0.5000  2 Pt 1.91
O: 0.5000 0.5000 0.0000  2 Pt 2.22

- Space-group type: P4/mmm, No. 123
- Density of states at the Fermi level: 3.04 states/eV per cell



Entry 9:
VASP calculation (meta-GGA SCAN) on a crystal of SnMoPbSe2 relaxed with PBEsol.

a b c (Å): 4.7661 4.7661 5.7186
angles (deg): 90.00 90.00 90.00
With the nearest neighbours (Å) after each atom.
Positions (direct):
Sn: 0.0000 0.0000 0.0000  4 Pb 3.37, 8 Se 3.72
Mo: 0.5000 0.5000 0.5000  4 Se 2.38
Pb: 0.5000 0.5000 0.0000  2 Mo 2.86
Se: 0.0000 0.5000 0.5000  2 Mo 2.38
Se: 0.5000 0.0000 0.5000  2 Mo 2.38

- Space-group type: P4/mmm, No. 123
- Density of states at the Fermi level: 3.42 states/eV per cell



Entry 10:
VASP calculation (meta-GGA SCAN) on a crystal of Mn2NbFeI relaxed with PBEsol.

a b c (Å): 4.6118 4.6118 4.4459
angles (deg): 90.00 90.00 90.00
With the nearest neighbours (Å) after each atom.
Positions (direct):
Mn: 0.0000 0.5000 0.0000  2 Fe 2.31
Mn: 0.5000 0.0000 0.0000  2 Fe 2.31
Nb: 0.0000 0.0000 0.5000  2 Fe 2.22
Fe: 0.0000 0.0000 0.0000  2 Nb 2.22, 4 Mn 2.31
I: 0.5000 0.5000 0.5000  8 Mn 3.20, 4 Nb 3.26

- Space-group type: P4/mmm, No. 123
- Density of states at the Fermi level: 2.61 states/eV per cell



Entry 11:
VASP calculation (meta-GGA SCAN) on a crystal of Zr2InPRu relaxed with PBEsol.

a b c (Å): 4.8185 4.8185 4.3341
angles (deg): 90.00 90.00 90.00
With the nearest neighbours (Å) after each atom.
Positions (direct):
Zr: 0.0000 0.5000 0.0000  2 P 2.41
Zr: 0.5000 0.0000 0.0000  2 P 2.41
In: 0.0000 0.0000 0.5000  8 Zr 3.24, 4 Ru 3.41
P: 0.5000 0.5000 0.0000  2 Ru 2.17, 4 Zr 2.41
Ru: 0.5000 0.5000 0.5000  2 P 2.17

- Energy relative to the elements: -0.344 eV/atom
- Space-group type: P4/mmm, No. 123
- Density of states at the Fermi level: 4.09 states/eV per cell



Entry 12:
VASP calculation (meta-GGA SCAN) on a crystal of YTl relaxed with PBEsol.

a b c (Å): 6.5367 6.5367 6.3555
angles (deg): 118.41 118.41 43.64
With the nearest neighbours (Å) after each atom.
Positions (direct):
Y: 0.0000 0.0000 0.0000  6 Tl 3.01-3.35
Y: 0.3187 0.3187 0.5536  6 Tl 3.15-3.31, 2 Y 3.52
Y: 0.6483 0.6483 0.6852  6 Tl 3.02-3.31
Tl: 0.3277 0.3277 0.0581  6 Y 3.15-3.35, 4 Tl 3.35-3.48
Tl: 0.6697 0.6697 0.1981  6 Y 3.01-3.24, 1 Tl 3.22
Tl: 0.9778 0.9778 0.4720  6 Y 3.02-3.31, 3 Tl 3.22-3.35

- Energy relative to the elements: -0.500 eV/atom
- Space-group type: Cm, No. 8
- Density of states at the Fermi level: 3.62 states/eV per cell



| no. | uncorrected energy (eV per atom) |
| --- | --- |
| 1 | -14.1359 |
| 2 | -21.2730 |
| 3 | -32.6752 |
| 4 | -19.8015 |
| 5 | -30.5027 |
| 6 | -46.4589 |
| 7 | -31.3332 |
| 8 | -32.5519 |
| 9 | -37.0653 |
| 10 | -24.2246 |
| 11 | -28.3456 |
| 12 | -50.6010 |